## ZnRu2Br (GGA-PBE)

Data for a relaxed structure of ZnRu2Br.

Cell and atoms, written as POSCAR:
```
ZnRu2Br
1.0
5.746 0.000 0.000
0.000 5.746 0.000
2.873 2.873 5.167
Ru Zn Br
4 2 2
Cartesian
4.395 1.436 1.292
1.351 4.309 1.292
4.309 4.224 3.876
7.182 7.268 3.876
2.873 2.873 0.000
2.873 5.746 2.584
0.000 0.000 0.000
5.746 2.873 2.584
```

Calculated values
ΔE_f (raw) = 1.16 eV/atom
Distance to the lowest polymorph of the same formula = 358 kJ/mol of formula units